An optimized crystal structure of Sr8AgHg2. Source: the Alexandria database, functional PBE.

Calculated values
- Energy relative to the elements: -0.21 eV/atom
- Uncorrected energy: -38.41 eV/cell

CIF file:
```
data_Sr8AgHg2
_space_group_name_H-M_alt 'C 1 m 1'
_space_group_IT_number 8
_space_group_name_Hall 'C -2y'
_cell_length_a 9.959
_cell_length_b 14.765
_cell_length_c 6.954
_cell_angle_alpha 90.00
_cell_angle_beta 109.61
_cell_angle_gamma 90.00
loop_
_atom_site_label
_atom_site_fract_x
_atom_site_fract_y
_atom_site_fract_z
_atom_site_occupancy
Sr1 0.000 0.000 0.000 1
Sr2 0.068 0.370 0.783 1
Sr3 0.151 0.131 0.574 1
Sr4 0.219 0.500 0.375 1
Sr5 0.358 0.210 0.183 1
Ag1 0.361 0.000 0.388 1
Hg1 0.362 0.312 0.689 1
```

=====

An optimized crystal structure of Sr8AgHg2. Source: the Alexandria database, functional PBE.

Calculated values
- Energy relative to the elements: -0.22 eV/atom
- Uncorrected energy: -38.72 eV/cell

CIF file:
```
data_Sr8AgHg2
_space_group_name_H-M_alt 'C 1 2/m 1'
_space_group_IT_number 12
_space_group_name_Hall '-C 2y'
_cell_length_a 20.666
_cell_length_b 5.701
_cell_length_c 7.930
_cell_angle_alpha 90.00
_cell_angle_beta 105.87
_cell_angle_gamma 90.00
loop_
_atom_site_label
_atom_site_fract_x
_atom_site_fract_y
_atom_site_fract_z
_atom_site_occupancy
Sr1 0.033 0.000 0.293 1
Sr2 0.094 0.500 0.947 1
Sr3 0.165 0.500 0.471 1
Sr4 0.209 0.000 0.823 1
Ag1 0.000 0.500 0.500 1
Hg1 0.186 0.000 0.220 1
```